# Y2ReMoS GGA-PBE optimized geometry
# * size of the total moment: 0.4 μB/f.u.
# * total DFT energy (no corrections): -7.487 eV/atom
# * symmetry: P4/mmm
data_Y2ReMoS
_chemical_formula_sum 'Y2 Re1 Mo1 S1'
_symmetry_space_group_name_H-M 'P 1'
_symmetry_Int_Tables_number 1
_cell_length_a 5.4912
_cell_length_b 5.4912
_cell_length_c 4.6033
_cell_angle_alpha 90.00
_cell_angle_beta 90.00
_cell_angle_gamma 90.00
loop_
_symmetry_equiv_pos_as_xyz
'x,y,z'
loop_
_atom_site_label
_atom_site_fract_x
_atom_site_fract_y
_atom_site_fract_z
Y1 0.0000 0.5000 0.0000
Y2 0.5000 0.0000 0.0000
Re1 0.0000 0.0000 0.0000
Mo1 0.0000 0.0000 0.5000
S1 0.5000 0.5000 0.5000

=====

# ZnRe2Mo2S8 GGA-PBE optimized geometry
# * size of the total moment: 0.0 μB/f.u.
# * total DFT energy (no corrections): -6.916 eV/atom
# * symmetry: Imm2
data_ZnRe2Mo2S8
_chemical_formula_sum 'Zn1 Re2 Mo2 S8'
_symmetry_space_group_name_H-M 'P 1'
_symmetry_Int_Tables_number 1
_cell_length_a 6.8811
_cell_length_b 6.8811
_cell_length_c 6.8811
_cell_angle_alpha 120.31
_cell_angle_beta 119.75
_cell_angle_gamma 89.95
loop_
_symmetry_equiv_pos_as_xyz
'x,y,z'
loop_
_atom_site_label
_atom_site_fract_x
_atom_site_fract_y
_atom_site_fract_z
Zn1 0.0000 0.0000 0.0000
Re1 0.3932 0.1865 0.7933
Re2 0.3932 0.5999 0.2067
Mo1 0.3932 0.5984 0.7948
Mo2 0.8036 0.5984 0.2052
S1 0.0948 0.3608 0.7340
S2 0.1370 0.4094 0.2725
S3 0.1370 0.8645 0.7275
S4 0.1391 0.8620 0.2770
S5 0.5850 0.8620 0.7230
S6 0.6268 0.3608 0.2660
S7 0.6297 0.3597 0.7300
S8 0.6297 0.8997 0.2700